## Rb2MnH6Au (PBE-GGA)

Data for Rb2MnH6Au after structural relaxation.

```
10
Lattice="-0.450 -5.355 -0.136 0.427 -0.173 5.356 -4.962 -2.360 3.019" Properties=species:S:1:pos:R:3 pbc="T T T"
Rb -2.712 -5.239 2.746
Rb -2.273 -2.648 5.493
Mn 0.000 0.000 0.000
H -3.252 -2.500 2.878
H -0.018 -4.097 3.869
H 0.200 -1.513 3.936
H -0.223 -4.015 1.284
H -4.967 -3.790 4.370
H -1.733 -5.388 5.361
Au -0.011 -2.764 2.610
```

Its volume is 144.0 Å³/cell. As for the density of states at the Fermi level: 0.053 states/eV/atom. As for the space group: I4/mmm, No. 139. The value obtained for the total DFT energy (no corrections) is -34.83 eV/cell.